# 1
# LaZnFeSnO6

LaZnFeSnO6 after structural relaxation (PBE with a Hubbard U, Alexandria via LeMat-Bulk).

Lattice parameters (Å, degrees): 7.983 7.983 7.983 90.00 90.00 90.00
Space group F-43m (No. 216)
Asymmetric unit:
La  0.000  0.000  0.000 x4
Zn  0.250  0.250  0.250 x4
Fe  0.000  0.000  0.500 x4
Sn  0.250  0.250  0.750 x4
O  0.002  0.250  0.250 x24

Electronic total energy: -5.96 eV/atom
Spin magnetization: 4.54 μB per formula unit


# 2
# LaZnFeSnO6

LaZnFeSnO6 after structural relaxation (PBE with a Hubbard U, Alexandria via LeMat-Bulk).

Lattice parameters (Å, degrees): 7.975 7.975 7.975 90.00 90.00 90.00
Space group F-43m (No. 216)
Asymmetric unit:
La  0.000  0.000  0.000 x4
Zn  0.000  0.000  0.500 x4
Fe  0.250  0.250  0.250 x4
Sn  0.250  0.250  0.750 x4
O  0.004  0.250  0.250 x24

Electronic total energy: -6.21 eV/atom
Spin magnetization: 4.91 μB per formula unit


# 3
# SrLaFe2O

SrLaFe2O after structural relaxation (PBE with a Hubbard U, Alexandria via LeMat-Bulk).

Lattice parameters (Å, degrees): 6.017 6.017 4.357 90.00 90.00 90.00
Space group P4/mmm (No. 123)
Asymmetric unit:
Sr  0.000  0.000  0.000 x1
La  0.500  0.500  0.500 x1
Fe  0.000  0.500  0.500 x2
O  0.500  0.500  0.000 x1

Electronic total energy: -4.55 eV/atom
Spin magnetization: 5.87 μB per formula unit


# 4
# Sr3LaTa2Fe2O12

Sr3LaTa2Fe2O12 after structural relaxation (PBE with a Hubbard U, Alexandria via LeMat-Bulk).

Lattice parameters (Å, degrees): 5.686 5.712 8.067 90.39 90.16 90.49
Space group P1 (No. 1)
Asymmetric unit:
Sr  0.000  0.000  0.000 x1
Sr  0.015  0.054  0.504 x1
Sr  0.503  0.554  0.504 x1
La  0.511  0.484  0.994 x1
Ta  0.008  0.529  0.748 x1
Ta  0.504  0.024  0.254 x1
Fe  0.008  0.525  0.251 x1
Fe  0.506  0.025  0.751 x1
O  0.083  0.534  0.002 x1
O  0.205  0.813  0.726 x1
O  0.232  0.805  0.282 x1
O  0.284  0.300  0.285 x1
O  0.287  0.329  0.724 x1
O  0.442  0.051  0.012 x1
O  0.575  0.014  0.491 x1
O  0.721  0.749  0.209 x1
O  0.723  0.722  0.796 x1
O  0.773  0.256  0.215 x1
O  0.798  0.252  0.788 x1
O  0.947  0.521  0.504 x1

Electronic total energy: -7.99 eV/atom
Spin magnetization: 9.00 μB per formula unit


# 5
# SrLaVFeO6

SrLaVFeO6 after structural relaxation (PBE with a Hubbard U, Alexandria via LeMat-Bulk).

Lattice parameters (Å, degrees): 5.525 5.575 5.616 90.28 119.43 119.50
Space group P1 (No. 1)
Asymmetric unit:
Sr  0.000  0.000  0.000 x1
La  0.012  0.516  0.511 x1
V  0.503  0.255  0.751 x1
Fe  0.504  0.754  0.253 x1
O  0.027  0.972  0.554 x1
O  0.442  0.421  0.455 x1
O  0.486  0.524  0.941 x1
O  0.493  0.964  0.553 x1
O  0.589  0.106  0.074 x1
O  0.979  0.518  0.940 x1

Electronic total energy: -7.42 eV/atom
Spin magnetization: 4.00 μB per formula unit


# 6
# LaTaZnFeO6

LaTaZnFeO6 after structural relaxation (PBE with a Hubbard U, Alexandria via LeMat-Bulk).

Lattice parameters (Å, degrees): 5.455 5.983 9.567 90.00 123.99 90.00
Space group Pc (No. 7)
Asymmetric unit:
La  0.000  0.180  0.000 x2
Ta  0.733  0.287  0.256 x2
Zn  0.498  0.134  0.504 x2
Fe  0.233  0.272  0.746 x2
O  0.079  0.074  0.313 x2
O  0.374  0.431  0.200 x2
O  0.482  0.045  0.699 x2
O  0.582  0.239  0.015 x2
O  0.833  0.215  0.490 x2
O  0.958  0.451  0.799 x2

Electronic total energy: -7.78 eV/atom
Spin magnetization: 4.00 μB per formula unit


# 7
# La2FeTcO

La2FeTcO after structural relaxation (PBE with a Hubbard U, Alexandria via LeMat-Bulk).

Lattice parameters (Å, degrees): 5.380 5.380 4.188 90.00 90.00 90.00
Space group P4/mmm (No. 123)
Asymmetric unit:
La  0.000  0.500  0.000 x2
Fe  0.000  0.000  0.000 x1
Tc  0.000  0.000  0.500 x1
O  0.500  0.500  0.500 x1

Electronic total energy: -5.47 eV/atom
Spin magnetization: 1.40 μB per formula unit


# 8
# LaFeTeO2

LaFeTeO2 after structural relaxation (PBE with a Hubbard U, Alexandria via LeMat-Bulk).

Lattice parameters (Å, degrees): 5.474 14.791 5.479 90.00 90.00 90.00
Space group Cmcm (No. 63)
Asymmetric unit:
La  0.000  0.091  0.250 x4
Fe  0.000  0.482  0.250 x4
Te  0.000  0.249  0.750 x4
O  0.245  0.500  0.000 x8

Electronic total energy: -6.41 eV/atom
Spin magnetization: 2.04 μB per formula unit


# 9
# LaFe2TeO

LaFe2TeO after structural relaxation (PBE with a Hubbard U, Alexandria via LeMat-Bulk).

Lattice parameters (Å, degrees): 6.029 6.029 4.249 90.00 90.00 90.00
Space group P4/mmm (No. 123)
Asymmetric unit:
La  0.000  0.000  0.000 x1
Fe  0.000  0.500  0.000 x2
Te  0.500  0.500  0.500 x1
O  0.000  0.000  0.500 x1

Electronic total energy: -4.65 eV/atom
Spin magnetization: 7.63 μB per formula unit


# 10
# La2TiFeO

La2TiFeO after structural relaxation (PBE with a Hubbard U, Alexandria via LeMat-Bulk).

Lattice parameters (Å, degrees): 5.481 5.481 4.284 90.00 90.00 90.00
Space group P4/mmm (No. 123)
Asymmetric unit:
La  0.000  0.500  0.000 x2
Ti  0.000  0.000  0.000 x1
Fe  0.000  0.000  0.500 x1
O  0.500  0.500  0.500 x1

Electronic total energy: -5.09 eV/atom
Spin magnetization: 2.20 μB per formula unit


# 11
# LaTi2FeO

LaTi2FeO after structural relaxation (PBE with a Hubbard U, Alexandria via LeMat-Bulk).

Lattice parameters (Å, degrees): 4.208 4.208 5.104 90.00 90.00 90.00
Space group P4/mmm (No. 123)
Asymmetric unit:
La  0.000  0.000  0.000 x1
Ti  0.000  0.500  0.500 x2
Fe  0.500  0.500  0.000 x1
O  0.500  0.500  0.500 x1

Electronic total energy: -6.65 eV/atom
Spin magnetization: 3.52 μB per formula unit


# 12
# LaTiZnFeO6

LaTiZnFeO6 after structural relaxation (PBE with a Hubbard U, Alexandria via LeMat-Bulk).

Lattice parameters (Å, degrees): 5.387 6.201 9.182 90.00 125.87 90.00
Space group Pc (No. 7)
Asymmetric unit:
La  0.000  0.151  0.000 x2
Ti  0.751  0.314  0.255 x2
Zn  0.498  0.149  0.500 x2
Fe  0.241  0.312  0.741 x2
O  0.059  0.102  0.302 x2
O  0.370  0.422  0.204 x2
O  0.466  0.097  0.701 x2
O  0.538  0.235  0.003 x2
O  0.847  0.226  0.498 x2
O  0.951  0.438  0.792 x2

Electronic total energy: -7.37 eV/atom
Spin magnetization: 4.98 μB per formula unit